## Cd2Ga2S (PBE-GGA)

Data for crystalline Cd2Ga2S at its relaxed geometry.

Unit cell a=6.614 b=6.614 c=5.178 alpha=90.00 beta=90.00 gamma=90.00
Space group P4/mbm (No. 127)
One atom of each set of equivalent atoms:
Cd  0.180  0.320  0.000
Ga  0.142  0.642  0.500
S  0.000  0.000  0.500

Output
- Polymorph energy (0 for the lowest one): 0 meV/atom
- Magnetization: 0.0000 μB/atom
- Formation energy without anion corrections: 0.3 eV/f.u.
- Crystal system: tetragonal